A geometry-optimized NaPdBr structure. Source: the Alexandria database, functional PBE.

Properties
The calculation puts the final energy at -3.2445 eV/atom. The formation energy from raw total energies comes out at -0.516 eV/atom. The volume is 26.15 A^3/atom. The value obtained for the polymorph energy (0 for the lowest one) is 95 meV per atom.

Unit cell a=3.960 b=4.696 c=8.698 alpha=94.94 beta=103.07 gamma=90.13
Element x y z (fractional)
Na1 0.000 0.000 0.000
Na2 0.230 0.569 0.454
Pd1 0.369 0.074 0.734
Pd2 0.760 0.079 0.515
Br1 0.412 0.591 0.827
Br2 0.618 0.200 0.236

=====

A geometry-optimized NaPdBr structure. Source: the Alexandria database, functional PBE.

Properties
The calculation puts the final energy at -3.0723 eV/atom. The formation energy from raw total energies comes out at -0.344 eV/atom. The volume is 22.96 A^3/atom. The value obtained for the polymorph energy (0 for the lowest one) is 267 meV per atom.

Unit cell a=4.601 b=4.601 c=4.601 alpha=60.00 beta=60.00 gamma=60.00
Element x y z (fractional)
Na1 0.000 0.000 0.000
Pd1 0.750 0.750 0.750
Br1 0.500 0.500 0.500

=====

A geometry-optimized Na2PdBr5 structure. Source: the Alexandria database, functional PBE.

Properties
The calculation puts the final energy at -2.8906 eV/atom. The formation energy from raw total energies comes out at -0.866 eV/atom. The volume is 29.63 A^3/atom. The value obtained for the polymorph energy (0 for the lowest one) is 23 meV per atom.

Unit cell a=7.994 b=7.994 c=10.460 alpha=111.70 beta=111.70 gamma=51.03
Element x y z (fractional)
Na1 0.123 0.124 0.242
Na2 0.124 0.123 0.742
Na3 0.876 0.877 0.258
Na4 0.877 0.876 0.758
Pd1 0.500 0.500 0.000
Pd2 0.500 0.500 0.500
Br1 0.109 0.715 0.023
Br2 0.168 0.493 0.382
Br3 0.285 0.891 0.477
Br4 0.369 0.631 0.750
Br5 0.493 0.168 0.882
Br6 0.507 0.832 0.118
Br7 0.631 0.369 0.250
Br8 0.715 0.109 0.523
Br9 0.832 0.507 0.618
Br10 0.891 0.285 0.977

=====

A geometry-optimized NaPdBr structure. Source: the Alexandria database, functional PBE.

Properties
The calculation puts the final energy at -3.3099 eV/atom. The formation energy from raw total energies comes out at -0.582 eV/atom. The volume is 24.36 A^3/atom. The value obtained for the polymorph energy (0 for the lowest one) is 30 meV per atom.

Unit cell a=5.748 b=4.021 c=6.324 alpha=90.00 beta=90.00 gamma=90.00
Element x y z (fractional)
Na1 0.250 0.000 0.223
Na2 0.750 0.000 0.777
Pd1 0.000 0.500 0.500
Pd2 0.500 0.500 0.500
Br1 0.250 0.500 0.820
Br2 0.750 0.500 0.180

=====

A geometry-optimized Na3PdBr structure. Source: the Alexandria database, functional PBE.

Properties
The calculation puts the final energy at -2.5398 eV/atom. The formation energy from raw total energies comes out at -0.375 eV/atom. The volume is 32.56 A^3/atom. The value obtained for the polymorph energy (0 for the lowest one) is 0 meV per atom.

Unit cell a=5.460 b=5.460 c=5.460 alpha=90.00 beta=90.00 gamma=90.00
Element x y z (fractional)
Na1 0.000 0.000 0.500
Na2 0.000 0.500 0.000
Na3 0.500 0.000 0.000
Pd1 0.000 0.000 0.000
Br1 0.500 0.500 0.500

=====

A geometry-optimized NaPdBr structure. Source: the Alexandria database, functional PBE.

Properties
The calculation puts the final energy at -3.2272 eV/atom. The formation energy from raw total energies comes out at -0.499 eV/atom. The volume is 24.60 A^3/atom. The value obtained for the polymorph energy (0 for the lowest one) is 112 meV per atom.

Unit cell a=3.849 b=4.591 c=8.479 alpha=90.11 beta=99.86 gamma=90.22
Element x y z (fractional)
Na1 0.000 0.000 0.000
Na2 0.474 0.010 0.592
Pd1 0.020 0.500 0.243
Pd2 0.471 0.500 0.009
Br1 0.100 0.505 0.736
Br2 0.874 0.000 0.332

=====

A geometry-optimized NaPdBr structure. Source: the Alexandria database, functional PBE.

Properties
The calculation puts the final energy at -3.3046 eV/atom. The formation energy from raw total energies comes out at -0.576 eV/atom. The volume is 24.72 A^3/atom. The value obtained for the polymorph energy (0 for the lowest one) is 35 meV per atom.

Unit cell a=5.027 b=5.027 c=8.498 alpha=111.68 beta=111.68 gamma=49.08
Element x y z (fractional)
Na1 0.000 0.000 0.000
Na2 0.106 0.106 0.554
Pd1 0.361 0.361 0.391
Pd2 0.638 0.638 0.314
Br1 0.335 0.335 0.092
Br2 0.457 0.457 0.713

=====

A geometry-optimized NaPdBr structure. Source: the Alexandria database, functional PBE.

Properties
The calculation puts the final energy at -3.3295 eV/atom. The formation energy from raw total energies comes out at -0.601 eV/atom. The volume is 26.41 A^3/atom. The value obtained for the polymorph energy (0 for the lowest one) is 10 meV per atom.

Unit cell a=4.742 b=4.742 c=8.600 alpha=106.27 beta=106.27 gamma=60.02
Element x y z (fractional)
Na1 0.000 0.000 0.000
Na2 0.145 0.145 0.425
Pd1 0.406 0.406 0.213
Pd2 0.739 0.739 0.214
Br1 0.636 0.636 0.910
Br2 0.843 0.843 0.518

=====

A geometry-optimized NaPdBr structure. Source: the Alexandria database, functional PBE.

Properties
The calculation puts the final energy at -3.3397 eV/atom. The formation energy from raw total energies comes out at -0.611 eV/atom. The volume is 23.09 A^3/atom. The value obtained for the polymorph energy (0 for the lowest one) is 0 meV per atom.

Unit cell a=6.789 b=3.717 c=10.980 alpha=90.00 beta=90.00 gamma=90.00
Element x y z (fractional)
Na1 0.195 0.250 0.145
Na2 0.305 0.750 0.645
Na3 0.695 0.250 0.355
Na4 0.805 0.750 0.855
Pd1 0.111 0.250 0.451
Pd2 0.389 0.750 0.951
Pd3 0.611 0.250 0.049
Pd4 0.889 0.750 0.549
Br1 0.167 0.250 0.853
Br2 0.333 0.750 0.353
Br3 0.667 0.250 0.647
Br4 0.833 0.750 0.147

=====

A geometry-optimized Na3Pd5Br12 structure. Source: the Alexandria database, functional PBE.

Properties
The calculation puts the final energy at -3.0340 eV/atom. The formation energy from raw total energies comes out at -0.534 eV/atom. The volume is 29.14 A^3/atom.

Unit cell a=14.468 b=14.468 c=14.468 alpha=109.47 beta=109.47 gamma=109.47
Element x y z (fractional)
Na1 0.125 0.250 0.375
Na2 0.125 0.375 0.750
Na3 0.250 0.375 0.125
Na4 0.250 0.875 0.625
Na5 0.375 0.125 0.250
Na6 0.375 0.750 0.125
Na7 0.625 0.250 0.875
Na8 0.625 0.875 0.750
Na9 0.750 0.125 0.375
Na10 0.750 0.625 0.875
Na11 0.875 0.625 0.250
Na12 0.875 0.750 0.625
Pd1 0.000 0.000 0.000
Pd2 0.000 0.000 0.500
Pd3 0.000 0.500 0.000
Pd4 0.000 0.500 0.500
Pd5 0.125 0.750 0.875
Pd6 0.125 0.875 0.250
Pd7 0.250 0.125 0.875
Pd8 0.250 0.625 0.375
Pd9 0.375 0.250 0.625
Pd10 0.375 0.625 0.750
Pd11 0.500 0.000 0.000
Pd12 0.500 0.000 0.500
Pd13 0.500 0.500 0.000
Pd14 0.500 0.500 0.500
Pd15 0.625 0.375 0.250
Pd16 0.625 0.750 0.375
Pd17 0.750 0.375 0.625
Pd18 0.750 0.875 0.125
Pd19 0.875 0.125 0.750
Pd20 0.875 0.250 0.125
Br1 0.021 0.192 0.126
Br2 0.021 0.330 0.895
Br3 0.066 0.692 0.670
Br4 0.066 0.874 0.395
Br5 0.105 0.626 0.434
Br6 0.105 0.979 0.670
Br7 0.126 0.021 0.192
Br8 0.126 0.605 0.934
Br9 0.170 0.192 0.566
Br10 0.170 0.479 0.605
Br11 0.192 0.126 0.021
Br12 0.192 0.566 0.170
Br13 0.308 0.330 0.934
Br14 0.308 0.479 0.374
Br15 0.330 0.895 0.021
Br16 0.330 0.934 0.308
Br17 0.374 0.308 0.479
Br18 0.374 0.566 0.895
Br19 0.395 0.066 0.874
Br20 0.395 0.830 0.521
Br21 0.434 0.105 0.626
Br22 0.434 0.830 0.808
Br23 0.479 0.374 0.308
Br24 0.479 0.605 0.170
Br25 0.521 0.395 0.830
Br26 0.521 0.626 0.692
Br27 0.566 0.170 0.192
Br28 0.566 0.895 0.374
Br29 0.605 0.170 0.479
Br30 0.605 0.934 0.126
Br31 0.626 0.434 0.105
Br32 0.626 0.692 0.521
Br33 0.670 0.066 0.692
Br34 0.670 0.105 0.979
Br35 0.692 0.521 0.626
Br36 0.692 0.670 0.066
Br37 0.808 0.434 0.830
Br38 0.808 0.874 0.979
Br39 0.830 0.521 0.395
Br40 0.830 0.808 0.434
Br41 0.874 0.395 0.066
Br42 0.874 0.979 0.808
Br43 0.895 0.021 0.330
Br44 0.895 0.374 0.566
Br45 0.934 0.126 0.605
Br46 0.934 0.308 0.330
Br47 0.979 0.670 0.105
Br48 0.979 0.808 0.874

=====

A geometry-optimized NaPdBr structure. Source: the Alexandria database, functional PBE.

Properties
The calculation puts the final energy at -3.3091 eV/atom. The formation energy from raw total energies comes out at -0.581 eV/atom. The volume is 25.78 A^3/atom. The value obtained for the polymorph energy (0 for the lowest one) is 31 meV per atom.

Unit cell a=6.014 b=6.014 c=5.673 alpha=118.14 beta=118.14 gamma=88.17
Element x y z (fractional)
Na1 0.244 0.756 0.000
Na2 0.756 0.244 0.000
Pd1 0.260 0.260 0.512
Pd2 0.262 0.262 0.014
Br1 0.572 0.572 0.575
Br2 0.951 0.951 0.455

=====

A geometry-optimized NaPdBr structure. Source: the Alexandria database, functional PBE.

Properties
The calculation puts the final energy at -3.3137 eV/atom. The formation energy from raw total energies comes out at -0.585 eV/atom. The volume is 26.39 A^3/atom. The value obtained for the polymorph energy (0 for the lowest one) is 26 meV per atom.

Unit cell a=4.265 b=5.625 c=6.847 alpha=90.00 beta=105.41 gamma=90.00
Element x y z (fractional)
Na1 0.100 0.000 0.244
Na2 0.900 0.500 0.756
Pd1 0.500 0.248 0.999
Pd2 0.500 0.748 0.001
Br1 0.429 0.997 0.693
Br2 0.571 0.497 0.307

=====

| no. | total magnetization (μB/f.u.) |
| --- | --- |
| 1 | 0.000 |
| 2 | 0.000 |
| 3 | 0.000 |
| 4 | 0.000 |
| 5 | 0.000 |
| 6 | 0.000 |
| 7 | 0.000 |
| 8 | 0.000 |
| 9 | 0.000 |
| 10 | 0.000 |
| 11 | 0.000 |
| 12 | 0.000 |